(1)
The following is a DFT calculation (GGA-PBE) of a geometry-optimized BaSbF2 structure.

abc: 7.156 7.156 7.156
angles: 90.00 90.00 90.00
Space group Fm-3m (No. 225)
Unique sites:
1 Ba 0.000 0.000 0.000 x4
2 Sb 0.000 0.000 0.500 x4
3 F 0.250 0.250 0.250 x8

Calculated values
calculated volume	366.4	Å³ per cell
magnetic moment	11.99	μB/cell
theoretical density	5386	kg/m3
energy above the most stable polymorph in this dataset	0.470	eV per atom
density of states at the Fermi level	0.08	states/eV/atom

(2)
The following is a DFT calculation (GGA-PBE) of a geometry-optimized BaSbF structure.

abc: 4.286 4.286 18.602
angles: 90.00 90.00 90.00
Space group I4/mmm (No. 139)
Unique sites:
1 Ba 0.000 0.000 0.092 x4
2 Sb 0.000 0.000 0.274 x4
3 F 0.000 0.500 0.000 x4

Calculated values
calculated volume	341.7	Å³ per cell
magnetic moment	0.00	μB/cell
theoretical density	5406	kg/m3
energy above the most stable polymorph in this dataset	0.147	eV per atom
density of states at the Fermi level	0.20	states/eV/atom

(3)
The following is a DFT calculation (GGA-PBE) of a geometry-optimized BaSbF2 structure.

abc: 3.9608 3.9608 26.8742
angles: 90.00 90.00 120.00
Space group R-3m (No. 166, hexagonal axes)
Unique sites:
1 Ba 0.0000 0.0000 0.0000 x3
2 Sb 0.0000 0.0000 0.5000 x3
3 F 0.0000 0.0000 0.3765 x6

Calculated values
calculated volume	365.1	Å³ per cell
magnetic moment	0.00	μB/cell
theoretical density	4053	kg/m3
energy above the most stable polymorph in this dataset	0.000	eV per atom
density of states at the Fermi level	0.77	states/eV/atom

(4)
The following is a DFT calculation (GGA-PBE) of a geometry-optimized Ba2SbF structure.

abc: 8.132 8.132 8.132
angles: 90.00 90.00 90.00
Space group Fm-3m (No. 225)
Unique sites:
1 Ba 0.250 0.250 0.250 x8
2 Sb 0.000 0.000 0.000 x4
3 F 0.000 0.000 0.500 x4

Calculated values
calculated volume	537.8	Å³ per cell
magnetic moment	0.00	μB/cell
theoretical density	5131	kg/m3
energy above the most stable polymorph in this dataset	0.248	eV per atom
density of states at the Fermi level	0.00	states/eV/atom

(5)
The following is a DFT calculation (GGA-PBE) of a geometry-optimized BaSbF3 structure.

abc: 4.823 4.823 4.823
angles: 90.00 90.00 90.00
Space group Pm-3m (No. 221)
Unique sites:
1 Ba 0.000 0.000 0.000 x1
2 Sb 0.500 0.500 0.500 x1
3 F 0.000 0.500 0.500 x3

Calculated values
calculated volume	112.2	Å³ per cell
magnetic moment	0.00	μB/cell
theoretical density	4677	kg/m3
energy above the most stable polymorph in this dataset	0.032	eV per atom
density of states at the Fermi level	0.45	states/eV/atom

(6)
The following is a DFT calculation (GGA-PBE) of a geometry-optimized BaSb3F structure.

abc: 5.158 5.158 5.158
angles: 90.00 90.00 90.00
Space group Pm-3m (No. 221)
Unique sites:
1 Ba 0.000 0.000 0.000 x1
2 Sb 0.000 0.500 0.500 x3
3 F 0.500 0.500 0.500 x1

Calculated values
calculated volume	137.2	Å³ per cell
magnetic moment	0.00	μB/cell
theoretical density	6311	kg/m3
energy above the most stable polymorph in this dataset	0.000	eV per atom
density of states at the Fermi level	0.72	states/eV/atom